No. 1
Compound: Ir4RuBr
Source: Alexandria
Functional: GGA-PBE
Structure: relaxed

Output
**Formation energy from raw total energies**: 1.12 eV/atom
**Magnetization**: 1.7 μB/f.u.
**DOS(E_F)**: 1.745 states/eV per atom
**Crystal system**: cubic

```
Ir4RuBr
1.0
0.0000 3.6945 3.6945
3.6945 0.0000 3.6945
3.6945 3.6945 0.0000
Ir Ru Br
4 1 1
direct
0.1253 0.1253 0.1253
0.1253 0.1253 0.6242
0.1253 0.6242 0.1253
0.6242 0.1253 0.1253
0.5000 0.5000 0.5000
0.7500 0.7500 0.7500
```


No. 2
Compound: PmY2TcO8
Source: Alexandria
Functional: GGA-PBE
Structure: relaxed

Output
**Formation energy from raw total energies**: -2.59 eV/atom
**Magnetization**: 0.0 μB/f.u.
**Crystal system**: monoclinic

```
PmY2TcO8
1.0
5.0776 0.0000 0.0000
0.0000 6.8329 0.0000
-0.0046 0.0000 5.0857
Pm Y Tc O
1 2 1 8
direct
0.0000 0.0000 0.0000
0.5000 0.2497 0.5000
0.5000 0.7503 0.5000
0.0000 0.5000 0.0000
0.1837 0.2971 0.8181
0.1837 0.7029 0.8181
0.2653 0.5000 0.2668
0.3117 0.0000 0.3139
0.6883 0.0000 0.6861
0.7347 0.5000 0.7332
0.8163 0.2971 0.1819
0.8163 0.7029 0.1819
```


No. 3
Compound: PrDyPb
Source: Alexandria
Functional: GGA-PBE
Structure: relaxed

Output
**E_form**: -42.9 kJ/mol of atoms
**Magnetization**: 0.0 μB/f.u.
**DOS(E_F)**: 1.283 states/eV per atom
**Crystal system**: tetragonal
**Excess energy over the best structure of this formula in the dataset**: 0.0000 eV/atom

```
PrDyPb
1.0
4.6686 0.0000 0.0000
0.0000 4.6686 0.0000
0.0000 0.0000 8.8105
Pr Dy Pb
2 2 2
direct
0.2500 0.2500 0.1549
0.7500 0.7500 0.8451
0.2500 0.7500 0.5000
0.7500 0.2500 0.5000
0.2500 0.2500 0.7744
0.7500 0.7500 0.2256
```


No. 4
Compound: La8GaCo3Br4
Source: Alexandria
Functional: GGA-PBE
Structure: relaxed

Output
**Formation energy from raw total energies**: -0.82 eV/atom
**Magnetization**: 0.0 μB/f.u.
**DOS(E_F)**: 0.808 states/eV per atom
**Crystal system**: monoclinic

```
La8GaCo3Br4
1.0
7.4065 -4.1081 0.0000
7.4065 4.1081 0.0000
-4.8464 0.0000 7.7930
La Ga Co Br
8 1 3 4
direct
0.2131 0.7546 0.6960
0.2422 0.2422 0.6980
0.2454 0.7869 0.3040
0.2595 0.2595 0.3107
0.7405 0.7405 0.6893
0.7546 0.2131 0.6960
0.7578 0.7578 0.3020
0.7869 0.2454 0.3040
0.5000 0.5000 0.5000
0.0000 0.0000 0.5000
0.0000 0.5000 0.5000
0.5000 0.0000 0.5000
0.0000 0.0000 0.0000
0.0000 0.5000 0.0000
0.5000 0.0000 0.0000
0.5000 0.5000 0.0000
```


No. 5
Compound: Pr3SbO
Source: Alexandria
Functional: GGA-PBE
Structure: relaxed

Output
**Formation energy from raw total energies**: -1.47 eV/atom
**Magnetization**: 0.0 μB/f.u.
**DOS(E_F)**: 1.143 states/eV per atom
**Crystal system**: cubic
**Excess energy over the best structure of this formula in the dataset**: 0.0122 eV/atom

```
Pr3SbO
1.0
5.0014 0.0000 0.0000
0.0000 5.0014 0.0000
0.0000 0.0000 5.0014
Pr Sb O
3 1 1
direct
0.0000 0.0000 0.5000
0.0000 0.5000 0.0000
0.5000 0.0000 0.0000
0.5000 0.5000 0.5000
0.0000 0.0000 0.0000
```


No. 6
Compound: La2Pr2ErAg5
Source: Alexandria
Functional: GGA-PBE
Structure: relaxed

Output
**E_form**: -11.5 kJ/mol of atoms
**Magnetization**: 0.0 μB/f.u.
**DOS(E_F)**: 0.733 states/eV per atom
**Crystal system**: tetragonal

```
La2Pr2ErAg5
1.0
11.2028 0.0000 0.0000
0.0000 11.2028 0.0000
0.0000 0.0000 4.2898
La Pr Er Ag
4 4 2 10
direct
0.1719 0.3281 0.0000
0.3281 0.8281 0.0000
0.6719 0.1719 0.0000
0.8281 0.6719 0.0000
0.1317 0.6317 0.0000
0.3683 0.1317 0.0000
0.6317 0.8683 0.0000
0.8683 0.3683 0.0000
0.0000 0.0000 0.0000
0.5000 0.5000 0.0000
0.0000 0.5000 0.5000
0.0643 0.8211 0.5000
0.1789 0.0643 0.5000
0.3211 0.5643 0.5000
0.4357 0.3211 0.5000
0.5000 0.0000 0.5000
0.5643 0.6789 0.5000
0.6789 0.4357 0.5000
0.8211 0.9357 0.5000
0.9357 0.1789 0.5000
```


Number 1: VASP energy -0.486 Ry/atom. Number 2: VASP energy -0.605 Ry/atom. Number 3: VASP energy -0.353 Ry/atom. Number 4: VASP energy -0.384 Ry/atom. Number 5: VASP energy -0.452 Ry/atom. Number 6: VASP energy -0.290 Ry/atom.